Record 1
Computed, not measured: a geometry-optimized ZrHg2Te2 structure at the PBEsol level of DFT.

It has space group I4/mmm (No. 139), with a = 3.7844 Å, b = 3.7844 Å, c = 18.8602 Å, α = 90.00°, β = 90.00° and γ = 90.00°. The inequivalent atoms are Zr at (0.0000, 0.0000, 0.0000), Hg at (0.0000, 0.5000, 0.2500) and Te at (0.0000, 0.0000, 0.4147).

The value obtained for the uncorrected formation energy is -0.26 eV per atom.

***

Record 2
Computed, not measured: a geometry-optimized Rb3SbRu structure at the PBEsol level of DFT.

It has space group Pm-3m (No. 221), with a = 5.6982 Å, b = 5.6982 Å, c = 5.6982 Å, α = 90.00°, β = 90.00° and γ = 90.00°. The inequivalent atoms are Rb at (0.0000, 0.0000, 0.5000), Sb at (0.5000, 0.5000, 0.5000) and Ru at (0.0000, 0.0000, 0.0000).

The value obtained for the uncorrected formation energy is 1.06 eV per atom.

***

Record 3
Computed, not measured: a geometry-optimized ErB4Ru structure at the PBEsol level of DFT.

It has space group Pbam (No. 55), with a = 5.9006 Å, b = 11.4118 Å, c = 3.4878 Å, α = 90.00°, β = 90.00° and γ = 90.00°. The inequivalent atoms are Er at (0.1288, 0.1499, 0.0000), B at (0.0236, 0.6924, 0.5000), B at (0.1127, 0.5471, 0.5000), B at (0.1354, 0.9695, 0.5000), B at (0.2102, 0.8143, 0.5000) and Ru at (0.1396, 0.4077, 0.0000).

Its formation energy is -711 meV/atom.

***

Record 4
Computed, not measured: a geometry-optimized BiSb2AsPt structure at the PBEsol level of DFT.

It has space group P4/mmm (No. 123), with a = 5.0790 Å, b = 5.0790 Å, c = 5.5175 Å, α = 90.00°, β = 90.00° and γ = 90.00°. The inequivalent atoms are Bi at (0.0000, 0.0000, 0.0000), Sb at (0.0000, 0.5000, 0.5000), As at (0.5000, 0.5000, 0.0000) and Pt at (0.0000, 0.0000, 0.5000).

The value obtained for the uncorrected formation energy is 0.54 eV per atom.